# 1
PBE Ce4Hg2P, relaxed; crystal system = tetragonal; SG = I4/mmm (139); DFT formation energy = -0.385 eV/atom; final energy = -4.63 eV per atom
1.0
-2.691 2.691 7.609
2.691 -2.691 7.609
2.691 2.691 -7.609
Ce Hg P
4 2 1
direct
0.000 0.500 0.500 Ce
0.181 0.181 0.000 Ce
0.500 0.000 0.500 Ce
0.819 0.819 0.000 Ce
0.382 0.382 0.000 Hg
0.618 0.618 0.000 Hg
0.000 0.000 0.000 P

---

# 2
PBE YScBr3, relaxed; energy above the lowest structure with this stoichiometry = 3.88 eV per formula unit; energy relative to the elements, uncorrected = -0.68 eV/atom; crystal system = cubic; SG = Pm-3m (221); final energy = -4.25 eV per atom
1.0
5.589 0.000 0.000
0.000 5.589 0.000
0.000 0.000 5.589
Y Sc Br
1 1 3
direct
0.000 0.000 0.000 Y
0.500 0.500 0.500 Sc
0.000 0.000 0.500 Br
0.000 0.500 0.000 Br
0.500 0.000 0.000 Br

---

# 3
PBE AcGdRu4, relaxed; crystal system = cubic; SG = F-43m (216); DFT formation energy = -0.069 eV/atom; final energy = -9.28 eV per atom
1.0
0.000 3.863 3.863
3.863 0.000 3.863
3.863 3.863 0.000
Ac Gd Ru
1 1 4
direct
0.000 0.000 0.000 Ac
0.750 0.750 0.750 Gd
0.376 0.376 0.376 Ru
0.376 0.376 0.873 Ru
0.376 0.873 0.376 Ru
0.873 0.376 0.376 Ru

---

# 4
PBE CrBiSb3, relaxed; energy above the lowest structure with this stoichiometry = 0.00 eV per formula unit; energy relative to the elements, uncorrected = 0.39 eV/atom; crystal system = cubic; SG = Pm-3m (221); final energy = -4.78 eV per atom
1.0
5.141 0.000 0.000
0.000 5.141 0.000
0.000 0.000 5.141
Cr Bi Sb
1 1 3
direct
0.000 0.000 0.000 Cr
0.500 0.500 0.500 Bi
0.000 0.000 0.500 Sb
0.000 0.500 0.000 Sb
0.500 0.000 0.000 Sb

---

# 5
PBE LaDy7Ho4, relaxed; energy above the lowest structure with this stoichiometry = 3.23 eV per formula unit; crystal system = monoclinic; SG = C2/m (12); DFT formation energy = 0.270 eV/atom; final energy = -4.35 eV per atom
1.0
6.032 -2.941 0.000
6.032 2.941 0.000
-5.881 0.000 11.132
La Dy Ho
1 7 4
direct
0.000 0.000 0.000 La
0.056 0.056 0.336 Dy
0.210 0.210 0.922 Dy
0.365 0.365 0.494 Dy
0.500 0.500 0.000 Dy
0.635 0.635 0.506 Dy
0.790 0.790 0.078 Dy
0.944 0.944 0.664 Dy
0.255 0.255 0.686 Ho
0.371 0.371 0.225 Ho
0.629 0.629 0.775 Ho
0.745 0.745 0.314 Ho

---

# 6
PBE Nd3In4Au4, relaxed; crystal system = orthorhombic; SG = Immm (71); DFT formation energy = -0.609 eV/atom; final energy = -4.10 eV per atom
1.0
-2.227 3.872 7.798
2.227 -3.872 7.798
2.227 3.872 -7.798
Nd In Au
3 4 4
direct
0.000 0.000 0.000 Nd
0.380 0.880 0.500 Nd
0.620 0.120 0.500 Nd
0.027 0.330 0.697 In
0.366 0.670 0.697 In
0.634 0.330 0.303 In
0.973 0.670 0.303 In
0.222 0.222 0.000 Au
0.309 0.500 0.809 Au
0.691 0.500 0.191 Au
0.778 0.778 0.000 Au

---

# 7
PBE PrCd2Cu, relaxed; crystal system = tetragonal; SG = P4/mmm (123); DFT formation energy = -0.098 eV/atom; final energy = -2.77 eV per atom
1.0
3.371 0.000 0.000
0.000 3.371 0.000
0.000 0.000 7.831
Pr Cd Cu
1 2 1
direct
0.000 0.000 0.000 Pr
0.500 0.500 0.307 Cd
0.500 0.500 0.693 Cd
0.000 0.000 0.500 Cu

---

# 8
PBE CuOsCl2, relaxed; energy above the lowest structure with this stoichiometry = 3.08 eV per formula unit; energy relative to the elements, uncorrected = 0.99 eV/atom; crystal system = tetragonal; SG = P4/mmm (123); final energy = -3.76 eV per atom
1.0
4.453 0.000 0.000
0.000 4.453 0.000
0.000 0.000 3.035
Cu Os Cl
1 1 2
direct
0.000 0.000 0.000 Cu
0.500 0.500 0.000 Os
0.000 0.500 0.500 Cl
0.500 0.000 0.500 Cl

---

# 9
PBE TaTc2Pb, relaxed; crystal system = orthorhombic; SG = Cmmm (65); DFT formation energy = 0.372 eV/atom; final energy = -8.70 eV per atom
1.0
1.641 -2.487 0.000
1.641 2.487 0.000
0.000 0.000 8.957
Ta Tc Pb
1 2 1
direct
0.000 0.000 0.000 Ta
0.500 0.500 0.229 Tc
0.500 0.500 0.771 Tc
0.000 0.000 0.500 Pb

---

# 10
PBE B2Sb2Cl, relaxed; energy above the lowest structure with this stoichiometry = 1.62 eV per formula unit; energy relative to the elements, uncorrected = 0.87 eV/atom; crystal system = tetragonal; SG = P4/mbm (127); final energy = -3.82 eV per atom
1.0
7.570 0.000 0.000
0.000 7.570 0.000
0.000 0.000 3.406
B Sb Cl
4 4 2
direct
0.077 0.423 0.000 B
0.423 0.923 0.000 B
0.577 0.077 0.000 B
0.923 0.577 0.000 B
0.163 0.663 0.500 Sb
0.337 0.163 0.500 Sb
0.663 0.837 0.500 Sb
0.837 0.337 0.500 Sb
0.000 0.000 0.500 Cl
0.500 0.500 0.500 Cl

---

# 11
PBE Cs8I3Cl4, relaxed; energy relative to the elements, uncorrected = -1.62 eV/atom; crystal system = monoclinic; SG = C2/m (12); final energy = -2.88 eV per atom
1.0
7.482 -7.490 0.000
7.482 7.490 0.000
-7.427 0.000 7.501
Cs I Cl
8 3 4
direct
0.230 0.230 0.479 Cs
0.237 0.237 0.984 Cs
0.241 0.759 0.000 Cs
0.241 0.759 0.500 Cs
0.759 0.241 0.000 Cs
0.759 0.241 0.500 Cs
0.763 0.763 0.016 Cs
0.770 0.770 0.521 Cs
0.000 0.500 0.500 I
0.500 0.000 0.500 I
0.500 0.500 0.500 I
0.000 0.000 0.000 Cl
0.000 0.000 0.500 Cl
0.000 0.500 0.000 Cl
0.500 0.000 0.000 Cl

---

# 12
PBE CuPt3Pb, relaxed; energy above the lowest structure with this stoichiometry = 4.04 eV per formula unit; crystal system = cubic; SG = Pm-3m (221); DFT formation energy = 1.411 eV/atom; final energy = -3.77 eV per atom
1.0
5.063 0.000 0.000
0.000 5.063 0.000
0.000 0.000 5.063
Cu Pt Pb
1 3 1
direct
0.000 0.000 0.000 Cu
0.000 0.500 0.500 Pt
0.500 0.000 0.500 Pt
0.500 0.500 0.000 Pt
0.500 0.500 0.500 Pb

---

# 13
PBE La6TbPmY2, relaxed; crystal system = monoclinic; SG = C2/m (12); DFT formation energy = 0.192 eV/atom; final energy = -5.00 eV per atom
1.0
5.726 -3.576 0.000
5.726 3.576 0.000
-2.194 0.000 8.778
La Tb Pm Y
6 1 1 2
direct
0.097 0.541 0.196 La
0.136 0.136 0.432 La
0.459 0.903 0.804 La
0.541 0.097 0.196 La
0.864 0.864 0.568 La
0.903 0.459 0.804 La
0.000 0.000 0.000 Tb
0.500 0.500 0.500 Pm
0.411 0.411 0.836 Y
0.589 0.589 0.164 Y

---

# 14
PBE K2RhPb, relaxed; crystal system = tetragonal; SG = I-42d (122); DFT formation energy = 0.223 eV/atom; final energy = -3.09 eV per atom
1.0
-5.902 5.902 2.588
5.902 -5.902 2.588
5.902 5.902 -2.588
K Rh Pb
4 2 2
direct
0.375 0.214 0.339 K
0.786 0.125 0.161 K
0.875 0.036 0.661 K
0.964 0.625 0.839 K
0.000 0.000 0.000 Rh
0.750 0.250 0.500 Rh
0.250 0.750 0.500 Pb
0.500 0.500 0.000 Pb

---

# 15
PBE LiAcNi, relaxed; energy above the lowest structure with this stoichiometry = 0.00 eV per formula unit; crystal system = orthorhombic; SG = Cmcm (63); DFT formation energy = -0.152 eV/atom; final energy = -4.09 eV per atom
1.0
2.022 -9.087 0.000
2.022 9.087 0.000
0.000 0.000 4.112
Li Ac Ni
2 2 2
direct
0.210 0.790 0.750 Li
0.790 0.210 0.250 Li
0.407 0.593 0.750 Ac
0.593 0.407 0.250 Ac
0.038 0.962 0.750 Ni
0.962 0.038 0.250 Ni

---

# 16
PBE Ac3GaSb2Pt9, relaxed; energy relative to the elements, uncorrected = -0.64 eV/atom; crystal system = trigonal; SG = P-3m1 (164); final energy = -5.84 eV per atom
1.0
6.813 0.000 0.000
-3.407 5.901 0.000
0.000 0.000 9.397
Ac Ga Sb Pt
3 1 2 9
direct
0.000 0.000 0.000 Ac
0.333 0.667 0.731 Ac
0.667 0.333 0.269 Ac
0.000 0.000 0.500 Ga
0.333 0.667 0.196 Sb
0.667 0.333 0.804 Sb
0.000 0.500 0.000 Pt
0.133 0.266 0.290 Pt
0.133 0.867 0.290 Pt
0.266 0.133 0.710 Pt
0.500 0.000 0.000 Pt
0.500 0.500 0.000 Pt
0.734 0.867 0.290 Pt
0.867 0.133 0.710 Pt
0.867 0.734 0.710 Pt

---

# 17
PBE NaAg, relaxed; crystal system = orthorhombic; SG = Amm2 (38); DFT formation energy = 0.054 eV/atom; final energy = -2.03 eV per atom
1.0
5.187 0.000 0.000
0.000 1.526 2.700
0.000 -1.526 2.700
Na Ag
1 1
direct
0.000 0.000 0.000 Na
0.500 0.674 0.674 Ag

---

# 18
PBE KZrRh2, relaxed; energy above the lowest structure with this stoichiometry = 0.79 eV per formula unit; crystal system = trigonal; SG = R-3m (166); DFT formation energy = -0.023 eV/atom; final energy = -6.11 eV per atom
1.0
1.645 0.950 9.154
-1.645 0.950 9.154
0.000 -1.900 9.154
K Zr Rh
1 1 2
direct
0.000 0.000 0.000 K
0.500 0.500 0.500 Zr
0.235 0.235 0.235 Rh
0.765 0.765 0.765 Rh

---

# 19
PBE PrNdPt2, relaxed; energy above the lowest structure with this stoichiometry = 0.39 eV per formula unit; crystal system = trigonal; SG = R-3m (166); DFT formation energy = -1.039 eV/atom; final energy = -6.45 eV per atom
1.0
2.104 1.215 6.907
-2.104 1.215 6.907
0.000 -2.429 6.907
Pr Nd Pt
1 1 2
direct
0.000 0.000 0.000 Pr
0.500 0.500 0.500 Nd
0.249 0.249 0.249 Pt
0.751 0.751 0.751 Pt

---

# 20
PBE RbGaSnSe4, relaxed; energy above the lowest structure with this stoichiometry = 0.00 eV per formula unit; energy relative to the elements, uncorrected = -0.73 eV/atom; crystal system = monoclinic; SG = P2_1/c (14); final energy = -3.87 eV per atom
1.0
7.554 0.000 0.000
0.000 13.660 0.000
-2.837 0.000 18.491
Rb Ga Sn Se
8 8 8 32
direct
0.199 0.060 0.322 Rb
0.199 0.440 0.822 Rb
0.239 0.093 0.947 Rb
0.239 0.407 0.447 Rb
0.761 0.593 0.553 Rb
0.761 0.907 0.053 Rb
0.801 0.560 0.178 Rb
0.801 0.940 0.678 Rb
0.022 0.741 0.349 Ga
0.022 0.759 0.849 Ga
0.456 0.243 0.131 Ga
0.456 0.257 0.631 Ga
0.544 0.743 0.369 Ga
0.544 0.757 0.869 Ga
0.978 0.241 0.151 Ga
0.978 0.259 0.651 Ga
0.266 0.710 0.691 Sn
0.266 0.790 0.191 Sn
0.299 0.690 0.021 Sn
0.299 0.810 0.521 Sn
0.701 0.190 0.479 Sn
0.701 0.310 0.979 Sn
0.734 0.210 0.809 Sn
0.734 0.290 0.309 Sn
0.037 0.621 0.934 Se
0.037 0.879 0.434 Se
0.043 0.180 0.773 Se
0.043 0.320 0.273 Se
0.215 0.127 0.138 Se
0.215 0.373 0.638 Se
0.255 0.630 0.563 Se
0.255 0.870 0.063 Se
0.284 0.638 0.356 Se
0.284 0.862 0.856 Se
0.307 0.611 0.149 Se
0.307 0.889 0.649 Se
0.391 0.167 0.515 Se
0.391 0.333 0.015 Se
0.480 0.129 0.725 Se
0.480 0.371 0.225 Se
0.520 0.629 0.775 Se
0.520 0.871 0.275 Se
0.609 0.667 0.985 Se
0.609 0.833 0.485 Se
0.693 0.111 0.351 Se
0.693 0.389 0.851 Se
0.716 0.138 0.144 Se
0.716 0.362 0.644 Se
0.745 0.130 0.937 Se
0.745 0.370 0.437 Se
0.785 0.627 0.362 Se
0.785 0.873 0.862 Se
0.957 0.680 0.727 Se
0.957 0.820 0.227 Se
0.963 0.121 0.566 Se
0.963 0.379 0.066 Se

---

# 21
PBE Cs3Mg2Tl9, relaxed; crystal system = orthorhombic; SG = Immm (71); DFT formation energy = -0.040 eV/atom; final energy = -1.97 eV per atom
1.0
-2.557 6.695 7.533
2.557 -6.695 7.533
2.557 6.695 -7.533
Cs Mg Tl
3 2 9
direct
0.000 0.000 0.000 Cs
0.285 0.285 0.000 Cs
0.715 0.715 0.000 Cs
0.336 0.500 0.836 Mg
0.664 0.500 0.164 Mg
0.001 0.330 0.671 Tl
0.176 0.882 0.294 Tl
0.340 0.670 0.671 Tl
0.412 0.118 0.294 Tl
0.500 0.000 0.500 Tl
0.588 0.882 0.706 Tl
0.660 0.330 0.329 Tl
0.824 0.118 0.706 Tl
0.999 0.670 0.329 Tl

---

| no. | total magnetic moment (μB/f.u.) |
| --- | --- |
| 1 | 3.348 |
| 2 | 2.665 |
| 3 | 6.508 |
| 4 | 1.407 |
| 5 | 0.000 |
| 6 | 0.000 |
| 7 | 0.001 |
| 8 | 0.000 |
| 9 | 0.000 |
| 10 | 0.000 |
| 11 | 0.822 |
| 12 | 0.000 |
| 13 | 0.000 |
| 14 | 0.000 |
| 15 | 0.000 |
| 16 | 0.000 |
| 17 | 0.000 |
| 18 | 0.000 |
| 19 | 0.000 |
| 20 | 0.000 |
| 21 | 0.000 |